A relaxed Li2InGe crystal. Source: Alexandria via LeMat-Bulk, functional PBE-GGA.

```
Li2InGe
1.0
3.2443 0.0000 0.0000
0.0000 3.2443 0.0000
0.0000 0.0000 6.7095
Ge Li In
1 2 1
Direct
0.5000 0.5000 0.5000
0.0000 0.0000 0.7256
0.0000 0.0000 0.2744
0.5000 0.5000 0.0000
```

Properties
VASP energy = -12.22 eV for the cell shown
energy of formation = -99.8 kJ/mol of formula units
crystal system = tetragonal
spin magnetization = 0.00 Bohr magnetons per cell